Record 1
SrTb2Tc (PBE-GGA, relaxed); DFT total energy = -0.36807 Ry per atom; energy relative to the elements = 0.3192 eV per atom; total moment = 0.00 μB per cell; energy above the most stable polymorph in this dataset = 25.27 kJ/mol of atoms
1.0
3.632 0.000 0.000
1.816 3.145 0.000
1.816 1.048 11.062
Tb Sr Tc
2 1 1
Cartesian
1.816 1.048 7.445
5.448 3.145 3.616
0.000 0.000 0.000
3.632 2.097 5.531

=====

Record 2
SrTb2Tc (PBE-GGA, relaxed); DFT total energy = -0.38732 Ry per atom; energy relative to the elements = 0.0573 eV per atom; total moment = 0.00 μB per cell; energy above the most stable polymorph in this dataset = 0.00 kJ/mol of atoms
1.0
3.534 0.000 0.000
0.000 3.534 0.000
0.000 0.000 9.726
Tc Sr Tb
1 1 2
Cartesian
1.767 1.767 0.000
1.767 1.767 4.863
0.000 0.000 1.612
0.000 0.000 8.114

=====

Record 3
SrTbTe2 (PBE-GGA, relaxed); DFT total energy = -0.34188 Ry per atom; E_form (uncorrected) = -1.50 eV/atom; total moment = 0.00 μB per cell; energy above the most stable polymorph in this dataset = 0.00 kJ/mol of atoms
1.0
-2.601 -2.375 -2.789
-2.208 -3.608 1.513
-7.511 2.372 1.365
Te Tb Sr
2 1 1
Cartesian
-2.975 -0.980 -0.009
-9.344 -2.630 0.099
0.000 0.000 0.000
-6.160 -1.805 0.045

=====

Record 4
SrTb5Te8 (PBE-GGA, relaxed); DFT total energy = -0.35967 Ry per atom; E_form (uncorrected) = -1.32 eV/atom; total moment = 0.00 μB per cell
1.0
-6.632 -2.181 5.992
-0.647 -8.594 3.220
2.131 -1.800 8.767
Tb Te Sr
5 8 1
Cartesian
-3.210 -7.841 11.209
0.000 0.000 0.000
-4.263 -6.951 6.878
0.067 -6.763 8.249
-2.890 -3.595 9.619
-4.969 -5.856 9.660
-1.353 -9.883 12.781
-5.465 -10.062 11.479
-4.161 -6.874 14.082
-4.465 -10.906 15.593
-1.043 -5.686 10.903
-1.997 -4.879 6.975
-2.287 -8.729 8.418
-1.287 -3.144 4.495

=====

Record 5
SrTb2Te4 (PBE-GGA, relaxed); DFT total energy = -0.35657 Ry per atom; E_form (uncorrected) = -1.49 eV/atom; total moment = 0.00 μB per cell; energy above the most stable polymorph in this dataset = 1.08 kJ/mol of atoms
1.0
4.433 0.000 0.000
-2.216 7.256 0.000
0.000 0.000 15.293
Sr Tb Te
2 4 8
Cartesian
2.216 1.636 11.470
0.000 5.620 3.823
2.216 5.304 14.254
2.216 5.304 8.686
0.000 1.952 6.607
0.000 1.952 1.039
2.216 6.483 11.470
2.216 3.953 1.785
2.216 0.000 0.000
0.000 3.303 9.432
0.000 3.303 13.508
0.000 0.773 3.823
2.216 3.953 5.861
2.216 0.000 7.647

=====

Record 6
Sr5TbTe6 (PBE-GGA, relaxed); DFT total energy = -0.31661 Ry per atom; E_form (uncorrected) = -1.65 eV/atom; total moment = 0.00 μB per cell
1.0
-2.249 -3.268 7.051
-7.042 -3.870 -0.941
-0.075 -7.810 -2.094
Sr Te Tb
5 6 1
Cartesian
-2.379 -3.882 -1.009
-2.374 -7.441 1.985
-4.738 -7.797 -2.026
-6.992 -7.507 2.031
-4.645 -3.569 3.055
-4.576 -9.338 3.550
-7.071 -9.658 -0.588
-7.069 -5.423 4.618
-2.295 -5.290 4.605
-2.221 -1.715 1.492
-4.790 -5.609 0.466
0.000 0.000 0.000

=====

> Which formula does entry 2 have?

SrTb2Tc